Here is an optimized crystal structure of Cr3C from Alexandria via LeMat-Bulk. Energies are from GGA-PBE.

**Formation energy**: -0.093 eV/atom
**Relative energy among the computed polymorphs**: 0 meV per atom
**D(E_F)**: 12.45 states/eV/cell

Cell: 5.194 6.655 4.525 Å, 90.00 90.00 90.00°
Space group Pnma (No. 62)
One atom of each set of equivalent atoms:
Cr  0.030  0.250  0.158
Cr  0.177  0.060  0.658
C  0.127  0.750  0.433

Here is an optimized crystal structure of Pr2Ho2Er2Mg from Alexandria via LeMat-Bulk. Energies are from GGA-PBE.

**Formation energy**: 0.094 eV/atom
**D(E_F)**: 16.78 states/eV/cell

Cell: 12.139 3.639 11.584 Å, 90.00 118.21 90.00°
Space group C2/m (No. 12)
One atom of each set of equivalent atoms:
Pr  0.028  0.000  0.247
Ho  0.246  0.000  0.128
Er  0.181  0.000  0.587
Mg  0.000  0.500  0.000

Here is an optimized crystal structure of Tl2SiAuSe4 from Alexandria via LeMat-Bulk. Energies are from GGA-PBE.

**Formation energy without anion corrections**: -0.27 eV per atom
**D(E_F)**: 21.22 states/eV/cell

Cell: 6.651 13.058 22.299 Å, 90.00 90.00 90.00°
Space group Fddd (No. 70, origin choice 2)
One atom of each set of equivalent atoms:
Tl  0.125  0.125  0.314
Si  0.125  0.125  0.625
Au  0.125  0.125  0.125
Se  0.087  0.271  0.820

Here is an optimized crystal structure of Pa2CuAu from Alexandria via LeMat-Bulk. Energies are from GGA-PBE.

**Formation energy**: -0.086 eV/atom
**Relative energy among the computed polymorphs**: 0 meV per atom
**D(E_F)**: 5.69 states/eV/cell

Cell: 4.378 4.378 4.346 Å, 90.00 90.00 90.00°
Space group P4/mmm (No. 123)
One atom of each set of equivalent atoms:
Pa  0.000  0.500  0.000
Cu  0.000  0.000  0.500
Au  0.500  0.500  0.500

Here is an optimized crystal structure of ZnSiTe2 from Alexandria via LeMat-Bulk. Energies are from GGA-PBE.

**Relative energy among the computed polymorphs**: 13 meV per atom
**Formation energy without anion corrections**: 0.01 eV per atom
**D(E_F)**: 2.42 states/eV/cell

Cell: 7.113 4.115 7.016 Å, 90.00 109.89 90.00°
Space group C2/m (No. 12)
One atom of each set of equivalent atoms:
Zn  0.000  0.000  0.000
Si  0.000  0.500  0.500
Te  0.249  0.000  0.748

Here is an optimized crystal structure of VCu2Br from Alexandria via LeMat-Bulk. Energies are from GGA-PBE.

**Relative energy among the computed polymorphs**: 265 meV per atom
**Formation energy without anion corrections**: 0.83 eV per atom
**D(E_F)**: 13.99 states/eV/cell

Cell: 6.430 6.430 6.430 Å, 90.00 90.00 90.00°
Space group Fm-3m (No. 225)
One atom of each set of equivalent atoms:
V  0.000  0.000  0.000
Cu  0.250  0.250  0.250
Br  0.000  0.000  0.500